# 1
DFT (GGA-PBE) results for a relaxed MoS2I2 crystal.

Summary:
For the raw formation energy, the calculation gives -242 meV/atom. Its magnetization is 2.023 μB per cell. The symmetry is No. 12. Its energy above the lowest structure with this stoichiometry is 0.0000 eV/atom.

a b c (Å): 6.872 6.872 8.209
angles (deg): 102.63 102.63 113.75
Element x y z (fractional)
Mo 0.122 0.878 0.000
Mo 0.878 0.122 0.000
S 0.113 0.113 0.265
S 0.287 0.287 0.127
S 0.713 0.713 0.873
S 0.887 0.887 0.735
I 0.054 0.455 0.786
I 0.455 0.054 0.786
I 0.545 0.946 0.214
I 0.946 0.545 0.214


# 2
DFT (GGA-PBE) results for a relaxed MoS3I crystal.

Summary:
For the raw formation energy, the calculation gives 140 meV/atom. Its magnetization is 0.000 μB per cell. The symmetry is No. 221. Its energy above the lowest structure with this stoichiometry is 0.0000 eV/atom.

a b c (Å): 4.738 4.738 4.738
angles (deg): 90.00 90.00 90.00
Element x y z (fractional)
Mo 0.000 0.000 0.000
S 0.000 0.000 0.500
S 0.000 0.500 0.000
S 0.500 0.000 0.000
I 0.500 0.500 0.500


# 3
DFT (GGA-PBE) results for a relaxed MoS2I crystal.

Summary:
For the raw formation energy, the calculation gives -357 meV/atom. Its magnetization is 0.000 μB per cell. The symmetry is No. 166. Its energy above the lowest structure with this stoichiometry is 0.0000 eV/atom.

a b c (Å): 12.031 12.031 12.031
angles (deg): 15.60 15.60 15.60
Element x y z (fractional)
Mo 0.000 0.000 0.000
S 0.377 0.377 0.377
S 0.623 0.623 0.623
I 0.500 0.500 0.500


# 4
DFT (GGA-PBE) results for a relaxed SbMoSI2 crystal.

Summary:
For the raw formation energy, the calculation gives 737 meV/atom. Its magnetization is 0.000 μB per cell. The symmetry is No. 123. Its energy above the lowest structure with this stoichiometry is 0.0000 eV/atom.

a b c (Å): 5.253 5.253 5.435
angles (deg): 90.00 90.00 90.00
Element x y z (fractional)
Sb 0.000 0.000 0.000
Mo 0.000 0.000 0.500
S 0.500 0.500 0.000
I 0.000 0.500 0.500
I 0.500 0.000 0.500


# 5
DFT (GGA-PBE) results for a relaxed SbMoSI2 crystal.

Summary:
For the raw formation energy, the calculation gives 1184 meV/atom. Its magnetization is 3.608 μB per cell. The symmetry is No. 123. Its energy above the lowest structure with this stoichiometry is 0.4475 eV/atom.

a b c (Å): 5.564 5.564 5.232
angles (deg): 90.00 90.00 90.00
Element x y z (fractional)
Sb 0.000 0.000 0.000
Mo 0.500 0.500 0.000
S 0.000 0.000 0.500
I 0.000 0.500 0.500
I 0.500 0.000 0.500


# 6
DFT (GGA-PBE) results for a relaxed Sc2MoSI crystal.

Summary:
For the raw formation energy, the calculation gives -138 meV/atom. Its magnetization is 0.001 μB per cell. The symmetry is No. 123.

a b c (Å): 4.994 4.994 4.432
angles (deg): 90.00 90.00 90.00
Element x y z (fractional)
Sc 0.000 0.500 0.000
Sc 0.500 0.000 0.000
Mo 0.000 0.000 0.500
S 0.000 0.000 0.000
I 0.500 0.500 0.500


# 7
DFT (GGA-PBE) results for a relaxed TeMoSI2 crystal.

Summary:
For the raw formation energy, the calculation gives 708 meV/atom. Its magnetization is 0.000 μB per cell. The symmetry is No. 123. Its energy above the lowest structure with this stoichiometry is 0.0000 eV/atom.

a b c (Å): 5.366 5.366 5.283
angles (deg): 90.00 90.00 90.00
Element x y z (fractional)
Te 0.000 0.000 0.000
Mo 0.000 0.000 0.500
S 0.500 0.500 0.000
I 0.000 0.500 0.500
I 0.500 0.000 0.500


# 8
DFT (GGA-PBE) results for a relaxed TeMoSI2 crystal.

Summary:
For the raw formation energy, the calculation gives 1103 meV/atom. Its magnetization is 3.761 μB per cell. The symmetry is No. 123. Its energy above the lowest structure with this stoichiometry is 0.3943 eV/atom.

a b c (Å): 5.459 5.459 5.394
angles (deg): 90.00 90.00 90.00
Element x y z (fractional)
Te 0.000 0.000 0.000
Mo 0.500 0.500 0.000
S 0.000 0.000 0.500
I 0.000 0.500 0.500
I 0.500 0.000 0.500


# 9
DFT (GGA-PBE) results for a relaxed Te2MoSI crystal.

Summary:
For the raw formation energy, the calculation gives 1077 meV/atom. Its magnetization is 3.819 μB per cell. The symmetry is No. 123. Its energy above the lowest structure with this stoichiometry is 0.4054 eV/atom.

a b c (Å): 5.232 5.232 5.513
angles (deg): 90.00 90.00 90.00
Element x y z (fractional)
Te 0.000 0.500 0.000
Te 0.500 0.000 0.000
Mo 0.000 0.000 0.500
S 0.500 0.500 0.000
I 0.500 0.500 0.500


# 10
DFT (GGA-PBE) results for a relaxed Te2MoSI crystal.

Summary:
For the raw formation energy, the calculation gives 672 meV/atom. Its magnetization is 0.000 μB per cell. The symmetry is No. 123. Its energy above the lowest structure with this stoichiometry is 0.0000 eV/atom.

a b c (Å): 5.247 5.247 5.363
angles (deg): 90.00 90.00 90.00
Element x y z (fractional)
Te 0.000 0.500 0.000
Te 0.500 0.000 0.000
Mo 0.000 0.000 0.000
S 0.500 0.500 0.500
I 0.000 0.000 0.500


# 11
DFT (GGA-PBE) results for a relaxed VMo2SI crystal.

Summary:
For the raw formation energy, the calculation gives 1575 meV/atom. Its magnetization is 0.009 μB per cell. The symmetry is No. 123.

a b c (Å): 4.659 4.659 4.894
angles (deg): 90.00 90.00 90.00
Element x y z (fractional)
V 0.000 0.000 0.000
Mo 0.000 0.500 0.000
Mo 0.500 0.000 0.000
S 0.500 0.500 0.500
I 0.000 0.000 0.500


# 12
DFT (GGA-PBE) results for a relaxed VMoSI2 crystal.

Summary:
For the raw formation energy, the calculation gives 1130 meV/atom. Its magnetization is 2.085 μB per cell. The symmetry is No. 123.

a b c (Å): 5.161 5.161 5.036
angles (deg): 90.00 90.00 90.00
Element x y z (fractional)
V 0.000 0.000 0.000
Mo 0.000 0.000 0.500
S 0.500 0.500 0.500
I 0.000 0.500 0.000
I 0.500 0.000 0.000


Values for uncorrected energy, eV/atom, ordered as above
-4.679, -4.813, -5.516, -3.699, -3.252, -5.973, -3.532, -3.137, -3.481, -3.887, -5.717, -4.305